! CeHfNiN3, optimized geometry, DFT PBE-GGA; values from VASP
&SYSTEM
  ibrav = 0, nat = 12, ntyp = 4
/
ATOMIC_SPECIES
Ce 140.12 Ce.upf
Hf 178.49 Hf.upf
Ni 58.69 Ni.upf
N 14.01 N.upf
ATOMIC_POSITIONS crystal
Ce 0.177 0.250 0.214
Ce 0.823 0.750 0.786
Hf 0.341 0.750 0.842
Hf 0.659 0.250 0.158
Ni 0.110 0.250 0.591
Ni 0.890 0.750 0.409
N 0.125 0.250 0.874
N 0.191 0.750 0.489
N 0.433 0.750 0.151
N 0.567 0.250 0.849
N 0.809 0.250 0.511
N 0.875 0.750 0.126
CELL_PARAMETERS angstrom
6.867 0.000 0.000
0.000 3.268 0.000
-1.538 0.000 6.963
! Crystal system = monoclinic
! Symmetry = P2_1/m
! Spin magnetization = 0.0 μB per formula unit
! E_form (uncorrected) = -1.099 eV per atom


! PrMgSn3, optimized geometry, DFT PBE-GGA; values from VASP
&SYSTEM
  ibrav = 0, nat = 20, ntyp = 3
/
ATOMIC_SPECIES
Pr 140.91 Pr.upf
Mg 24.30 Mg.upf
Sn 118.71 Sn.upf
ATOMIC_POSITIONS crystal
Pr 0.189 0.003 0.250
Pr 0.189 0.497 0.750
Pr 0.811 0.503 0.250
Pr 0.811 0.997 0.750
Mg 0.390 0.250 0.000
Mg 0.390 0.250 0.500
Mg 0.610 0.750 0.000
Mg 0.610 0.750 0.500
Sn 0.000 0.250 0.000
Sn 0.000 0.250 0.500
Sn 0.000 0.750 0.000
Sn 0.000 0.750 0.500
Sn 0.236 0.505 0.250
Sn 0.236 0.995 0.750
Sn 0.419 0.699 0.750
Sn 0.419 0.801 0.250
Sn 0.581 0.199 0.750
Sn 0.581 0.301 0.250
Sn 0.764 0.005 0.250
Sn 0.764 0.495 0.750
CELL_PARAMETERS angstrom
13.350 0.000 0.000
0.000 6.323 0.000
0.000 0.000 6.397
! Crystal system = orthorhombic
! Symmetry = Pbcm
! Spin magnetization = 0.0 μB per formula unit
! E_form = -9.49 kcal/mol of atoms


! Co3SnRu, optimized geometry, DFT PBE-GGA; values from VASP
&SYSTEM
  ibrav = 0, nat = 5, ntyp = 3
/
ATOMIC_SPECIES
Co 58.93 Co.upf
Sn 118.71 Sn.upf
Ru 101.07 Ru.upf
ATOMIC_POSITIONS crystal
Co 0.000 0.000 0.500
Co 0.000 0.500 0.000
Co 0.500 0.000 0.000
Sn 0.000 0.000 0.000
Ru 0.500 0.500 0.500
CELL_PARAMETERS angstrom
4.579 0.000 0.000
0.000 4.579 0.000
0.000 0.000 4.579
! Crystal system = cubic
! Symmetry = Pm-3m
! Spin magnetization = 7.0 μB per formula unit
! E_form = 40.60 kcal/mol of atoms
! Energy above the lowest structure with this stoichiometry = 0.549 eV/atom


! Ru3Rh5, optimized geometry, DFT PBE-GGA; values from VASP
&SYSTEM
  ibrav = 0, nat = 8, ntyp = 2
/
ATOMIC_SPECIES
Ru 101.07 Ru.upf
Rh 102.91 Rh.upf
ATOMIC_POSITIONS crystal
Ru 0.000 0.000 0.000
Ru 0.000 0.500 0.162
Ru 0.500 0.000 0.244
Rh 0.000 0.000 0.494
Rh 0.000 0.500 0.662
Rh 0.500 0.000 0.749
Rh 0.500 0.500 0.409
Rh 0.500 0.500 0.916
CELL_PARAMETERS angstrom
2.735 0.000 0.000
0.000 4.337 0.000
0.000 0.000 9.493
! Crystal system = orthorhombic
! Symmetry = Pmm2
! Spin magnetization = 0.0 μB per formula unit
! E_form = 0.32 kcal/mol of atoms
! Energy above the lowest structure with this stoichiometry = 0.000 eV/atom


! TbDy3Ho3Te8, optimized geometry, DFT PBE-GGA; values from VASP
&SYSTEM
  ibrav = 0, nat = 15, ntyp = 4
/
ATOMIC_SPECIES
Tb 158.93 Tb.upf
Dy 162.50 Dy.upf
Ho 164.93 Ho.upf
Te 127.60 Te.upf
ATOMIC_POSITIONS crystal
Tb 0.000 0.000 0.000
Dy 0.000 0.000 0.500
Dy 0.000 0.500 0.000
Dy 0.500 0.000 0.000
Ho 0.000 0.500 0.500
Ho 0.500 0.000 0.500
Ho 0.500 0.500 0.000
Te 0.250 0.250 0.250
Te 0.257 0.257 0.742
Te 0.257 0.742 0.257
Te 0.258 0.743 0.743
Te 0.742 0.257 0.257
Te 0.743 0.258 0.743
Te 0.743 0.743 0.258
Te 0.750 0.750 0.750
CELL_PARAMETERS angstrom
4.329 2.499 7.067
-4.329 2.499 7.067
0.000 -4.998 7.067
! Crystal system = trigonal
! Symmetry = R-3m
! Spin magnetization = 0.0 μB per formula unit
! E_form (uncorrected) = -1.353 eV per atom


! LiNiIr2, optimized geometry, DFT PBE-GGA; values from VASP
&SYSTEM
  ibrav = 0, nat = 8, ntyp = 3
/
ATOMIC_SPECIES
Li 6.94 Li.upf
Ni 58.69 Ni.upf
Ir 192.22 Ir.upf
ATOMIC_POSITIONS crystal
Li 0.000 0.000 0.000
Li 0.500 0.500 0.500
Ni 0.000 0.000 0.500
Ni 0.500 0.500 0.000
Ir 0.000 0.500 0.220
Ir 0.000 0.500 0.780
Ir 0.500 0.000 0.280
Ir 0.500 0.000 0.720
CELL_PARAMETERS angstrom
2.689 0.000 0.000
0.000 4.392 0.000
0.000 0.000 9.415
! Crystal system = orthorhombic
! Symmetry = Immm
! Spin magnetization = 0.0 μB per formula unit
! E_form = -1.01 kcal/mol of atoms
! Energy above the lowest structure with this stoichiometry = 0.032 eV/atom


! Ti3Pb, optimized geometry, DFT PBE-GGA; values from VASP
&SYSTEM
  ibrav = 0, nat = 8, ntyp = 2
/
ATOMIC_SPECIES
Ti 47.87 Ti.upf
Pb 207.20 Pb.upf
ATOMIC_POSITIONS crystal
Ti 0.161 0.322 0.250
Ti 0.161 0.839 0.250
Ti 0.322 0.161 0.750
Ti 0.678 0.839 0.250
Ti 0.839 0.161 0.750
Ti 0.839 0.678 0.750
Pb 0.333 0.667 0.750
Pb 0.667 0.333 0.250
CELL_PARAMETERS angstrom
5.980 0.000 0.000
-2.990 5.179 0.000
0.000 0.000 4.800
! Crystal system = hexagonal
! Symmetry = P6_3/mmc
! Spin magnetization = 0.0 μB per formula unit
! E_form = -1.42 kcal/mol of atoms


! CuTc4, optimized geometry, DFT PBE-GGA; values from VASP
&SYSTEM
  ibrav = 0, nat = 10, ntyp = 2
/
ATOMIC_SPECIES
Cu 63.55 Cu.upf
Tc 98.00 Tc.upf
ATOMIC_POSITIONS crystal
Cu 0.000 0.000 0.000
Cu 0.500 0.500 0.500
Tc 0.092 0.294 0.500
Tc 0.206 0.592 0.000
Tc 0.294 0.908 0.500
Tc 0.408 0.206 0.000
Tc 0.592 0.794 0.000
Tc 0.706 0.092 0.500
Tc 0.794 0.408 0.000
Tc 0.908 0.706 0.500
CELL_PARAMETERS angstrom
6.043 0.000 0.000
0.000 6.043 0.000
0.000 0.000 3.874
! Crystal system = tetragonal
! Symmetry = I4/m
! Spin magnetization = 0.0 μB per formula unit
! E_form = 2.82 kcal/mol of atoms
! Energy above the lowest structure with this stoichiometry = 0.000 eV/atom


! SmAl2S4, optimized geometry, DFT PBE-GGA; values from VASP
&SYSTEM
  ibrav = 0, nat = 14, ntyp = 3
/
ATOMIC_SPECIES
Sm 150.36 Sm.upf
Al 26.98 Al.upf
S 32.06 S.upf
ATOMIC_POSITIONS crystal
Sm 0.000 0.000 0.000
Sm 0.250 0.250 0.250
Al 0.010 0.544 0.814
Al 0.436 0.618 0.240
Al 0.544 0.010 0.632
Al 0.618 0.436 0.706
S 0.229 0.334 0.922
S 0.266 0.790 0.433
S 0.328 0.735 0.021
S 0.334 0.229 0.515
S 0.735 0.328 0.916
S 0.739 0.817 0.460
S 0.790 0.266 0.511
S 0.817 0.739 0.984
CELL_PARAMETERS angstrom
0.000 6.927 3.846
6.177 0.000 3.846
6.177 6.927 0.000
! Crystal system = orthorhombic
! Symmetry = Fdd2
! Spin magnetization = 0.0 μB per formula unit
! E_form (uncorrected) = -1.224 eV per atom
! Energy above the lowest structure with this stoichiometry = 0.000 eV/atom


! Pr5Se5N, optimized geometry, DFT PBE-GGA; values from VASP
&SYSTEM
  ibrav = 0, nat = 11, ntyp = 3
/
ATOMIC_SPECIES
Pr 140.91 Pr.upf
Se 78.96 Se.upf
N 14.01 N.upf
ATOMIC_POSITIONS crystal
Pr 0.000 0.000 0.000
Pr 0.349 0.349 0.693
Pr 0.352 0.352 0.153
Pr 0.648 0.648 0.847
Pr 0.651 0.651 0.307
Se 0.164 0.164 0.827
Se 0.175 0.175 0.333
Se 0.500 0.500 0.500
Se 0.825 0.825 0.667
Se 0.836 0.836 0.173
N 0.500 0.500 0.000
CELL_PARAMETERS angstrom
6.599 -2.957 0.000
6.599 2.957 0.000
-2.667 0.000 7.794
! Crystal system = monoclinic
! Symmetry = C2/m
! Spin magnetization = 0.0 μB per formula unit
! E_form (uncorrected) = -1.706 eV per atom


! CdPd5, optimized geometry, DFT PBE-GGA; values from VASP
&SYSTEM
  ibrav = 0, nat = 12, ntyp = 2
/
ATOMIC_SPECIES
Cd 112.41 Cd.upf
Pd 106.42 Pd.upf
ATOMIC_POSITIONS crystal
Cd 0.000 0.000 0.000
Cd 0.500 0.500 0.000
Pd 0.000 0.170 0.500
Pd 0.000 0.334 0.000
Pd 0.000 0.500 0.500
Pd 0.000 0.666 0.000
Pd 0.000 0.830 0.500
Pd 0.500 0.000 0.500
Pd 0.500 0.166 0.000
Pd 0.500 0.330 0.500
Pd 0.500 0.670 0.500
Pd 0.500 0.834 0.000
CELL_PARAMETERS angstrom
4.905 0.000 0.000
0.000 8.484 0.000
-1.667 0.000 4.615
! Crystal system = monoclinic
! Symmetry = C2/m
! Spin magnetization = 0.0 μB per formula unit
! E_form = -4.06 kcal/mol of atoms